# 1
Material: Li2AlCd
Method: DFT, SCAN
State: single point on PBEsol structure

Lattice parameters (Å, degrees): 4.509 4.509 4.509 60.00 60.00 60.00
Sites, in units of the cell vectors:
1 Cd 0.000 0.000 0.000
2 Al 0.500 0.500 0.500
3 Li 0.750 0.750 0.750
4 Li 0.250 0.250 0.250

Crystal system: cubic
D(E_F): 0.208 states/eV per atom

***

# 2
Material: Sb2TePb
Method: DFT, SCAN
State: single point on PBEsol structure

Lattice parameters (Å, degrees): 3.748 5.426 5.417 90.00 90.00 90.00
Sites, in units of the cell vectors:
1 Pb 0.000 0.500 0.500
2 Sb 0.000 0.000 0.000
3 Sb 0.500 0.500 0.000
4 Te 0.500 0.000 0.500

Crystal system: orthorhombic
Uncorrected formation energy: 0.153 eV/atom
D(E_F): 0.625 states/eV per atom
Energy above the most stable polymorph in this dataset: 6.40 kcal/mol of atoms

***

# 3
Material: PuCoC2
Method: DFT, SCAN
State: single point on PBEsol structure

Lattice parameters (Å, degrees): 3.691 3.691 3.534 90.00 90.00 105.11
Sites, in units of the cell vectors:
1 C 0.459 0.854 0.500
2 C 0.146 0.541 0.500
3 Co 0.610 0.390 0.500
4 Pu 0.000 0.000 0.000

Crystal system: orthorhombic
D(E_F): 2.062 states/eV per atom

***

| no. | ρ (g/cm3) | final energy (eV/atom) |
| --- | --- | --- |
| 1 | 3.9 | -10.9166 |
| 2 | 8.7 | -46.7349 |
| 3 | 11.7 | -36.8745 |